# 1
VASP calculation (GGA-PBE) on a geometry-optimized Ti3TlZn structure.

Properties
- Excess energy over the best structure of this formula in the dataset: 306 meV per atom

Geometry as POSCAR:
```
Ti3TlZn
1.0
4.7013 0.0000 0.0000
0.0000 4.7013 0.0000
0.0000 0.0000 4.7013
Ti Tl Zn
3 1 1
direct
0.0000 0.0000 0.5000
0.0000 0.5000 0.0000
0.5000 0.0000 0.0000
0.5000 0.5000 0.5000
0.0000 0.0000 0.0000
```

# 2
VASP calculation (GGA-PBE) on a geometry-optimized Ti7Tl2Zn2 structure.

Geometry as POSCAR:
```
Ti7Tl2Zn2
1.0
4.6144 -4.6159 0.0000
4.6144 4.6159 0.0000
-2.1472 0.0000 4.7453
Ti Tl Zn
7 2 2
direct
0.0000 0.0000 0.0000
0.0880 0.5821 0.8401
0.4118 0.4118 0.1762
0.4179 0.9120 0.1599
0.5821 0.0880 0.8401
0.5882 0.5882 0.8238
0.9120 0.4179 0.1599
0.2024 0.7976 0.5000
0.7976 0.2024 0.5000
0.2515 0.2515 0.5305
0.7485 0.7485 0.4695
```

# 3
VASP calculation (GGA-PBE) on a geometry-optimized Ti12Tl3Zn structure.

Geometry as POSCAR:
```
Ti12Tl3Zn
1.0
4.1437 0.0000 0.0000
0.0000 4.1437 0.0000
0.0000 0.0000 16.5144
Ti Tl Zn
12 3 1
direct
0.0000 0.0000 0.0000
0.0000 0.0000 0.2448
0.0000 0.0000 0.5000
0.0000 0.0000 0.7552
0.0000 0.5000 0.1166
0.0000 0.5000 0.3724
0.0000 0.5000 0.6276
0.0000 0.5000 0.8834
0.5000 0.0000 0.1166
0.5000 0.0000 0.3724
0.5000 0.0000 0.6276
0.5000 0.0000 0.8834
0.5000 0.5000 0.2445
0.5000 0.5000 0.5000
0.5000 0.5000 0.7555
0.5000 0.5000 0.0000
```

# 4
VASP calculation (GGA-PBE) on a geometry-optimized Ti2TlZn structure.

Geometry as POSCAR:
```
Ti2TlZn
1.0
3.1052 0.0000 0.0000
-1.5526 2.6892 0.0000
0.0000 0.0000 26.9530
Ti Tl Zn
6 3 3
direct
0.0000 0.0000 0.2428
0.0000 0.0000 0.7572
0.3333 0.6667 0.4239
0.3333 0.6667 0.9095
0.6667 0.3333 0.0905
0.6667 0.3333 0.5761
0.0000 0.0000 0.0000
0.3333 0.6667 0.6667
0.6667 0.3333 0.3333
0.0000 0.0000 0.5000
0.3333 0.6667 0.1667
0.6667 0.3333 0.8333
```

# 5
VASP calculation (GGA-PBE) on a geometry-optimized Ti3TlZn structure.

Properties
- Excess energy over the best structure of this formula in the dataset: 1085 meV per atom

Geometry as POSCAR:
```
Ti3TlZn
1.0
5.0843 0.0000 0.0000
0.0000 5.0843 0.0000
0.0000 0.0000 5.0843
Ti Tl Zn
3 1 1
direct
0.0000 0.0000 0.5000
0.0000 0.5000 0.0000
0.5000 0.0000 0.0000
0.0000 0.0000 0.0000
0.5000 0.5000 0.5000
```

# 6
VASP calculation (GGA-PBE) on a geometry-optimized ZrTiTlZn structure.

Geometry as POSCAR:
```
ZrTiTlZn
1.0
6.7904 0.0000 0.0000
0.0000 6.7904 0.0000
0.0000 0.0000 6.7904
Zr Ti Tl Zn
4 4 4 4
direct
0.0000 0.0000 0.0000
0.0000 0.5000 0.5000
0.5000 0.0000 0.5000
0.5000 0.5000 0.0000
0.0000 0.0000 0.5000
0.0000 0.5000 0.0000
0.5000 0.0000 0.0000
0.5000 0.5000 0.5000
0.2500 0.2500 0.2500
0.2500 0.7500 0.7500
0.7500 0.2500 0.7500
0.7500 0.7500 0.2500
0.2500 0.2500 0.7500
0.2500 0.7500 0.2500
0.7500 0.2500 0.2500
0.7500 0.7500 0.7500
```

# 7
VASP calculation (GGA-PBE) on a geometry-optimized ZrTi2Tl structure.

Properties
- Excess energy over the best structure of this formula in the dataset: 62 meV per atom

Geometry as POSCAR:
```
ZrTi2Tl
1.0
3.4671 0.0000 0.0000
0.0000 3.4671 0.0000
0.0000 0.0000 6.6519
Zr Ti Tl
1 2 1
direct
0.0000 0.0000 0.0000
0.5000 0.5000 0.2425
0.5000 0.5000 0.7575
0.0000 0.0000 0.5000
```

# 8
VASP calculation (GGA-PBE) on a geometry-optimized ZrTiTl2 structure.

Properties
- Excess energy over the best structure of this formula in the dataset: 1 meV per atom

Geometry as POSCAR:
```
ZrTiTl2
1.0
4.4573 0.0000 0.0000
0.0000 4.4573 0.0000
0.0000 0.0000 4.3316
Zr Ti Tl
1 1 2
direct
0.0000 0.0000 0.0000
0.5000 0.5000 0.0000
0.0000 0.5000 0.5000
0.5000 0.0000 0.5000
```

# 9
VASP calculation (GGA-PBE) on a geometry-optimized ZrTiTl2 structure.

Properties
- Excess energy over the best structure of this formula in the dataset: 128 meV per atom

Geometry as POSCAR:
```
ZrTiTl2
1.0
7.0491 0.0000 0.0000
0.0000 7.0491 0.0000
0.0000 0.0000 7.0491
Zr Ti Tl
4 4 8
direct
0.0000 0.0000 0.0000
0.0000 0.5000 0.5000
0.5000 0.0000 0.5000
0.5000 0.5000 0.0000
0.0000 0.0000 0.5000
0.0000 0.5000 0.0000
0.5000 0.0000 0.0000
0.5000 0.5000 0.5000
0.2500 0.2500 0.2500
0.2500 0.2500 0.7500
0.2500 0.7500 0.2500
0.2500 0.7500 0.7500
0.7500 0.2500 0.2500
0.7500 0.2500 0.7500
0.7500 0.7500 0.2500
0.7500 0.7500 0.7500
```

# 10
VASP calculation (GGA-PBE) on a geometry-optimized Zr7TiTl4 structure.

Geometry as POSCAR:
```
Zr7TiTl4
1.0
5.6134 -2.6590 0.0000
5.6134 2.6590 0.0000
-5.3501 0.0000 9.7276
Zr Ti Tl
7 1 4
direct
0.0000 0.0000 0.0000
0.1463 0.1463 0.5473
0.2940 0.2940 0.0863
0.4625 0.4625 0.6251
0.5375 0.5375 0.3749
0.7060 0.7060 0.9137
0.8537 0.8537 0.4527
0.5000 0.5000 0.0000
0.0917 0.0917 0.7785
0.2191 0.2191 0.3153
0.7809 0.7809 0.6847
0.9083 0.9083 0.2215
```

# 11
VASP calculation (GGA-PBE) on a geometry-optimized Zr12TiTl3 structure.

Geometry as POSCAR:
```
Zr12TiTl3
1.0
4.4703 0.0000 0.0000
0.0000 4.4703 0.0000
0.0000 0.0000 17.9881
Zr Ti Tl
12 1 3
direct
0.0000 0.0000 0.0000
0.0000 0.0000 0.2488
0.0000 0.0000 0.5000
0.0000 0.0000 0.7512
0.0000 0.5000 0.1249
0.0000 0.5000 0.3794
0.0000 0.5000 0.6206
0.0000 0.5000 0.8751
0.5000 0.0000 0.1249
0.5000 0.0000 0.3794
0.5000 0.0000 0.6206
0.5000 0.0000 0.8751
0.5000 0.5000 0.5000
0.5000 0.5000 0.0000
0.5000 0.5000 0.2512
0.5000 0.5000 0.7488
```

# 12
VASP calculation (GGA-PBE) on a geometry-optimized ZrTiTl structure.

Properties
- Excess energy over the best structure of this formula in the dataset: 174 meV per atom

Geometry as POSCAR:
```
ZrTiTl
1.0
16.7908 0.0000 0.0000
0.0000 3.0346 0.0000
-1.6976 0.0000 5.0900
Zr Ti Tl
4 4 4
direct
0.1716 0.0000 0.1698
0.3284 0.5000 0.8302
0.6716 0.5000 0.1698
0.8284 0.0000 0.8302
0.0000 0.0000 0.2418
0.0000 0.0000 0.7582
0.5000 0.5000 0.2418
0.5000 0.5000 0.7582
0.1403 0.5000 0.6386
0.3597 0.0000 0.3614
0.6403 0.0000 0.6386
0.8597 0.5000 0.3614
```

The records above yield electronic total energy values of -4.925 -5.546 -6.451 -4.729 -4.145 -4.997 -6.616 -5.254 -5.127 -6.152 -7.415 -6.089 eV/atom, respectively.